Record 1
Zn2CdAu | PBE-GGA | relaxed

* spin magnetization: 0.00 μB/cell
* DFT formation energy: -36.6 kJ/mol of formula units
* uncorrected energy: -1.78 eV/atom
* excess energy over the best structure of this formula in the dataset: 0.000 eV/atom

CIF file:
```
data_Zn2CdAu
_chemical_formula_sum 'Zn4 Cd2 Au2'
_symmetry_space_group_name_H-M 'P 1'
_symmetry_Int_Tables_number 1
_cell_length_a 4.056
_cell_length_b 5.168
_cell_length_c 7.736
_cell_angle_alpha 90.00
_cell_angle_beta 90.00
_cell_angle_gamma 112.20
loop_
_symmetry_equiv_pos_as_xyz
'x,y,z'
loop_
_atom_site_label
_atom_site_fract_x
_atom_site_fract_y
_atom_site_fract_z
Zn1 0.632 0.263 0.446
Zn2 0.368 0.737 0.554
Zn3 0.368 0.737 0.946
Zn4 0.632 0.263 0.054
Cd1 0.068 0.123 0.750
Cd2 0.932 0.877 0.250
Au1 0.228 0.460 0.250
Au2 0.772 0.540 0.750
```



Record 2
MgFePt | PBE-GGA | relaxed

* spin magnetization: 3.06 μB/cell
* DFT formation energy: -79.8 kJ/mol of formula units
* uncorrected energy: -5.64 eV/atom

CIF file:
```
data_MgFePt
_chemical_formula_sum 'Mg1 Fe1 Pt1'
_symmetry_space_group_name_H-M 'P 1'
_symmetry_Int_Tables_number 1
_cell_length_a 4.766
_cell_length_b 4.766
_cell_length_c 4.766
_cell_angle_alpha 145.67
_cell_angle_beta 131.82
_cell_angle_gamma 60.49
loop_
_symmetry_equiv_pos_as_xyz
'x,y,z'
loop_
_atom_site_label
_atom_site_fract_x
_atom_site_fract_y
_atom_site_fract_z
Fe1 0.006 0.006 0.000
Pt1 0.663 0.663 0.000
Mg1 0.331 0.331 0.000
```



Record 3
NdPu2Cd | PBE-GGA | relaxed

* spin magnetization: 12.57 μB/cell
* DFT formation energy: 24.1 kJ/mol of formula units
* uncorrected energy: -8.52 eV/atom
* excess energy over the best structure of this formula in the dataset: 0.000 eV/atom

CIF file:
```
data_NdPu2Cd
_chemical_formula_sum 'Nd1 Pu2 Cd1'
_symmetry_space_group_name_H-M 'P 1'
_symmetry_Int_Tables_number 1
_cell_length_a 5.288
_cell_length_b 4.585
_cell_length_c 4.585
_cell_angle_alpha 90.00
_cell_angle_beta 90.00
_cell_angle_gamma 90.00
loop_
_symmetry_equiv_pos_as_xyz
'x,y,z'
loop_
_atom_site_label
_atom_site_fract_x
_atom_site_fract_y
_atom_site_fract_z
Nd1 0.500 0.000 0.000
Pu1 0.000 0.000 0.500
Pu2 0.000 0.500 0.000
Cd1 0.500 0.500 0.500
```